Record 1
Co2AgRu | PBE | relaxed

Symmetry: No. 123
Energy above the most stable polymorph in this dataset (meV per atom): 138
Energy (eV/atom): -6.123
DFT formation energy (meV/atom): 461
Total magnetization (μB/atom): 1.280
D(E_F) (states/eV/f.u.): 3.60

POSCAR file:
```
Co2AgRu
1.0
3.268 0.000 0.000
0.000 4.082 0.000
0.000 0.000 4.082
Ru Ag Co
1 1 2
Direct
0.500 0.500 0.000
0.500 0.000 0.500
0.000 0.000 0.000
0.000 0.500 0.500
```

***

Record 2
Co2AgRu | PBE | relaxed

Symmetry: No. 99
Energy above the most stable polymorph in this dataset (meV per atom): 25
Energy (eV/atom): -6.236
DFT formation energy (meV/atom): 348
Total magnetization (μB/atom): 0.812
D(E_F) (states/eV/f.u.): 6.15

POSCAR file:
```
Co2AgRu
1.0
-1.851 -1.823 -0.530
-0.170 -0.577 2.582
-5.455 5.300 0.825
Co Ag Ru
2 1 1
Direct
0.000 0.000 0.032
0.500 0.500 0.238
0.500 0.500 0.762
0.000 0.000 0.468
```

***

Record 3
Co2AgRu | PBE | relaxed

Symmetry: No. 166
Energy above the most stable polymorph in this dataset (meV per atom): 12
Energy (eV/atom): -6.250
DFT formation energy (meV/atom): 335
Total magnetization (μB/atom): 0.806
D(E_F) (states/eV/f.u.): 4.93

POSCAR file:
```
Co2AgRu
1.0
-7.031 -0.533 5.342
-6.955 -3.082 4.514
-5.441 -2.299 6.584
Ru Co Ag
1 2 1
Direct
0.250 0.250 0.250
0.994 0.994 0.994
0.506 0.506 0.506
0.750 0.750 0.750
```

***

Record 4
Co2AgRu | PBE | relaxed

Symmetry: No. 139
Energy above the most stable polymorph in this dataset (meV per atom): 140
Energy (eV/atom): -6.122
DFT formation energy (meV/atom): 463
Total magnetization (μB/atom): 1.243
D(E_F) (states/eV/f.u.): 5.43

POSCAR file:
```
Co2AgRu
1.0
-0.340 -2.005 -3.971
4.222 -1.176 -0.834
-2.372 -0.863 3.678
Co Ru Ag
2 1 1
Direct
0.500 0.500 0.000
0.000 0.000 0.000
0.250 0.750 0.500
0.750 0.250 0.500
```

***

Record 5
Co2AgRu | PBE | relaxed

Symmetry: No. 71
Energy above the most stable polymorph in this dataset (meV per atom): 224
Energy (eV/atom): -6.037
DFT formation energy (meV/atom): 548
Total magnetization (μB/atom): 1.110
D(E_F) (states/eV/f.u.): 4.89

POSCAR file:
```
Co2AgRu
1.0
5.129 0.129 0.148
2.230 4.621 -0.148
-3.085 -3.296 2.443
Ru Co Ag
1 2 1
Direct
0.750 0.250 0.500
0.514 0.514 0.000
0.986 0.986 0.000
0.250 0.750 0.500
```

***

Record 6
Co2AgRu | PBE | relaxed

Symmetry: No. 38
Energy above the most stable polymorph in this dataset (meV per atom): 81
Energy (eV/atom): -6.181
DFT formation energy (meV/atom): 404
Total magnetization (μB/atom): 0.951
D(E_F) (states/eV/f.u.): 5.00

POSCAR file:
```
Co2AgRu
1.0
4.089 0.000 0.000
0.000 2.648 -0.005
0.000 1.331 4.988
Ag Ru Co
1 1 2
Direct
0.500 0.799 0.777
0.000 0.461 0.453
0.000 0.181 0.012
0.500 0.059 0.258
```

***

Record 7
Co2AgRu | PBE | relaxed

Symmetry: No. 123
Energy above the most stable polymorph in this dataset (meV per atom): 7
Energy (eV/atom): -6.255
DFT formation energy (meV/atom): 330
Total magnetization (μB/atom): 0.141
D(E_F) (states/eV/f.u.): 4.50

POSCAR file:
```
Co2AgRu
1.0
-0.935 -1.497 2.001
2.463 -0.193 1.007
-1.166 6.105 4.022
Ag Co Ru
1 2 1
Direct
0.500 0.500 0.750
0.000 0.000 0.024
0.000 0.000 0.476
0.500 0.500 0.250
```

***

Record 8
Co2AgRu | PBE | relaxed

Symmetry: No. 35
Energy above the most stable polymorph in this dataset (meV per atom): 103
Energy (eV/atom): -6.158
DFT formation energy (meV/atom): 427
Total magnetization (μB/atom): 1.055
D(E_F) (states/eV/f.u.): 4.93

POSCAR file:
```
Co2AgRu
1.0
2.624 -0.014 0.000
-1.172 2.348 0.000
0.000 0.000 9.015
Co Ru Ag
2 1 1
Direct
0.500 0.500 0.240
0.000 0.000 0.023
0.000 0.000 0.477
0.500 0.500 0.760
```

***

- What is the D(E_F) in the third record?
  4.93 states/eV/f.u.